1.
GGA-PBE V5Cr, relaxed; density = 6.48 g/cm3; energy above the lowest structure with this stoichiometry = 5 meV per atom; total energy = -55.354 eV for the cell shown
1.0
2.082 -4.481 0.000
2.082 4.481 0.000
0.000 0.000 4.212
V Cr
5 1
Direct
0.000 0.000 0.000
0.162 0.838 0.500
0.337 0.663 0.000
0.663 0.337 0.000
0.838 0.162 0.500
0.500 0.500 0.500

2.
GGA-PBE V2Cr13, relaxed; density = 7.32 g/cm3; total energy = -144.038 eV for the cell shown
1.0
4.752 0.000 0.000
0.853 6.349 0.000
0.870 2.474 5.850
V Cr
2 13
Direct
0.133 0.300 0.467
0.867 0.700 0.533
0.000 0.500 0.000
0.065 0.900 0.736
0.204 0.702 0.196
0.266 0.099 0.934
0.335 0.500 0.669
0.399 0.901 0.399
0.470 0.300 0.132
0.530 0.700 0.868
0.601 0.099 0.601
0.665 0.500 0.331
0.734 0.901 0.066
0.796 0.298 0.804
0.935 0.100 0.264